Entry 1:
## LaZr2Hg (PBE-GGA)

Data for a relaxed structure of LaZr2Hg.

The calculated formation energy is 0.079 eV/atom.

The structure belongs to space group Cmmm (No. 65); the cell edges are 7.4628, 7.4766 and 3.4264 Å and the angles 90.00°, 90.00° and 90.00°. The asymmetric unit holds La at (0.0000, 0.0000, 0.0000), Zr at (0.2500, 0.2500, 0.5000) and Hg at (0.0000, 0.5000, 0.0000).



Entry 2:
## LaZr2Hg (PBE-GGA)

Data for a relaxed structure of LaZr2Hg.

The calculated formation energy is 0.226 eV/atom.

The structure belongs to space group I-42d (No. 122); the cell edges are 4.4356, 4.4356 and 21.6456 Å and the angles 90.00°, 90.00° and 90.00°. The asymmetric unit holds La at (0.0000, 0.0000, 0.0000), Zr at (0.2389, 0.2500, 0.6250) and Hg at (0.0000, 0.0000, 0.5000).



Entry 3:
## LaZr4Hg (PBE-GGA)

Data for a relaxed structure of LaZr4Hg.

The calculated formation energy is 0.242 eV/atom.

The structure belongs to space group F-43m (No. 216); the cell edges are 8.4630, 8.4630 and 8.4630 Å and the angles 90.00°, 90.00° and 90.00°. The asymmetric unit holds La at (0.0000, 0.0000, 0.0000), Zr at (0.1266, 0.1266, 0.6266) and Hg at (0.2500, 0.2500, 0.2500).



Entry 4:
## LaZrHg2 (PBE-GGA)

Data for a relaxed structure of LaZrHg2.

The calculated formation energy is -0.099 eV/atom. The offset from the most stable computed form comes out at 0.67 eV/f.u.

The structure belongs to space group R-3m (No. 166, hexagonal axes); the cell edges are 3.5698, 3.5698 and 29.2224 Å and the angles 90.00°, 90.00° and 120.00°. The asymmetric unit holds La at (0.0000, 0.0000, 0.0000), Zr at (0.0000, 0.0000, 0.5000) and Hg at (0.0000, 0.0000, 0.2420).